VASP calculation (PBEsol) on an optimized crystal structure of CsCo2Os.

Unit cell a=4.530 b=4.530 c=4.530 alpha=60.00 beta=60.00 gamma=60.00
Positions (direct):
Cs 0.000 0.000 0.000
Co 0.250 0.250 0.250
Co 0.750 0.750 0.750
Os 0.500 0.500 0.500

Calculated values
spin magnetization: 4.82 μB/f.u.
uncorrected energy: -5.28 eV/atom
Fermi-level density of states: 4.56 states/eV/f.u.